Below is a relaxed K4YHo3Se8 crystal, with properties calculated at the GGA-PBE level.

Cell lengths 8.403, 9.086, 8.403 Å; angles 117.56, 120.00, 90.00 degrees
Fractional coordinates of all 16 atoms:
Ho 0.000 0.500 0.500
Ho 0.500 0.500 0.500
Ho 0.500 0.500 0.000
Se 0.236 0.705 0.969
Se 0.735 0.704 0.470
Se 0.265 0.296 0.530
Se 0.734 0.705 0.969
Se 0.764 0.295 0.031
Se 0.266 0.295 0.031
Se 0.236 0.705 0.471
Se 0.764 0.295 0.529
Y 0.000 0.500 0.000
K 0.000 0.000 0.500
K 0.500 0.000 0.000
K 0.000 0.000 0.000
K 0.500 0.000 0.500

Values from the calculation:
As for the raw total energy: -5.04 eV per atom. The value obtained for the density of states at the Fermi level is 0.0 states/eV per cell. As for the formation energy without anion corrections: -1.764 eV/atom.

---

Below is a relaxed K3Y2HoSe6 crystal, with properties calculated at the GGA-PBE level.

Cell lengths 7.292, 7.292, 8.057 Å; angles 98.67, 98.67, 120.00 degrees
Fractional coordinates of all 12 atoms:
K 0.833 0.167 0.500
K 0.500 0.500 0.500
K 0.167 0.833 0.500
Se 0.932 0.600 0.795
Se 0.264 0.264 0.795
Se 0.736 0.736 0.205
Se 0.600 0.932 0.795
Se 0.400 0.068 0.205
Se 0.068 0.400 0.205
Y 0.333 0.667 0.000
Y 0.667 0.333 0.000
Ho 0.000 0.000 0.000

Values from the calculation:
As for the raw total energy: -5.24 eV per atom. The value obtained for the density of states at the Fermi level is 0.0 states/eV per cell. As for the formation energy without anion corrections: -1.769 eV/atom.

---

Below is a relaxed KHoZnSe3 crystal, with properties calculated at the GGA-PBE level.

Cell lengths 4.127, 9.071, 9.866 Å; angles 108.03, 90.00, 90.00 degrees
Fractional coordinates of all 12 atoms:
Se 0.750 0.891 0.140
Se 0.250 0.109 0.860
Se 0.250 0.794 0.464
Se 0.250 0.540 0.841
Se 0.750 0.206 0.536
Se 0.750 0.460 0.159
Ho 0.250 0.670 0.140
Ho 0.750 0.330 0.860
K 0.750 0.793 0.766
K 0.250 0.207 0.234
Zn 0.750 0.916 0.393
Zn 0.250 0.084 0.607

Values from the calculation:
As for the raw total energy: -4.29 eV per atom. The value obtained for the density of states at the Fermi level is 0.0 states/eV per cell. As for the formation energy without anion corrections: -1.386 eV/atom.

---

Below is a relaxed K3Ho2ZrSe6 crystal, with properties calculated at the GGA-PBE level.

Cell lengths 7.104, 7.104, 8.069 Å; angles 98.45, 98.45, 120.00 degrees
Fractional coordinates of all 12 atoms:
Ho 0.666 0.334 0.000
Ho 0.334 0.666 0.000
Zr 0.000 0.000 0.000
K 0.169 0.831 0.500
K 0.500 0.500 0.500
K 0.831 0.169 0.500
Se 0.932 0.609 0.796
Se 0.609 0.932 0.796
Se 0.746 0.746 0.205
Se 0.254 0.254 0.795
Se 0.068 0.391 0.204
Se 0.391 0.068 0.204

Values from the calculation:
As for the raw total energy: -5.09 eV per atom. The value obtained for the density of states at the Fermi level is 4.5 states/eV per cell. As for the formation energy without anion corrections: -1.593 eV/atom.

---

Below is a relaxed K4Ho3ZrSe8 crystal, with properties calculated at the GGA-PBE level.

Cell lengths 8.262, 9.052, 8.262 Å; angles 117.17, 120.00, 90.00 degrees
Each line ends with the local moment (μB).
Fractional coordinates of all 16 atoms:
Se 0.736 0.707 0.471  0.00
Se 0.230 0.703 0.459  0.00
Se 0.230 0.703 0.974  0.00
Se 0.770 0.297 0.541  0.00
Se 0.256 0.297 0.026  0.00
Se 0.264 0.293 0.529  0.00
Se 0.770 0.297 0.026  0.00
Se 0.744 0.703 0.974  0.00
Ho 0.000 0.500 0.500  0.03
Ho 0.500 0.500 0.500  0.03
Ho 0.500 0.500 0.000  0.03
K 0.000 0.000 0.500  0.00
K 0.500 0.000 0.500  0.00
K 0.500 0.000 0.000  0.00
K 0.000 0.000 0.000  0.00
Zr 0.000 0.500 0.000  0.30

Values from the calculation:
As for the raw total energy: -5.04 eV per atom. The value obtained for the density of states at the Fermi level is 4.4 states/eV per cell. As for the formation energy without anion corrections: -1.635 eV/atom.

---

Below is a relaxed K2HoZrSe4 crystal, with properties calculated at the GGA-PBE level.

Cell lengths 4.039, 7.058, 8.070 Å; angles 106.68, 90.00, 90.00 degrees
Fractional coordinates of all 8 atoms:
K 0.500 0.000 0.500
K 0.000 0.500 0.500
Se 0.500 0.244 0.206
Se 0.000 0.726 0.203
Se 0.000 0.274 0.797
Se 0.500 0.756 0.794
Zr 0.500 0.500 0.000
Ho 0.000 0.000 0.000

Values from the calculation:
As for the raw total energy: -5.18 eV per atom. The value obtained for the density of states at the Fermi level is 3.2 states/eV per cell. As for the formation energy without anion corrections: -1.525 eV/atom.

---

Below is a relaxed KSm2Ho3Te6 crystal, with properties calculated at the GGA-PBE level.

Cell lengths 4.379, 9.059, 9.998 Å; angles 104.14, 102.65, 90.00 degrees
Fractional coordinates of all 12 atoms:
Sm 0.828 0.651 0.655
Sm 0.172 0.349 0.345
Ho 0.163 0.824 0.326
Ho 0.837 0.176 0.674
Ho 0.500 0.500 0.000
Te 0.662 0.590 0.325
Te 0.999 0.733 0.997
Te 0.326 0.918 0.652
Te 0.674 0.082 0.348
Te 0.001 0.267 0.003
Te 0.338 0.410 0.675
K 0.500 0.000 0.000

Values from the calculation:
As for the raw total energy: -4.91 eV per atom. The value obtained for the density of states at the Fermi level is 4.2 states/eV per cell. As for the formation energy without anion corrections: -1.320 eV/atom.

---

Below is a relaxed K3Sm3HoTe8 crystal, with properties calculated at the GGA-PBE level.

Cell lengths 8.917, 8.922, 9.951 Å; angles 116.65, 90.00, 119.98 degrees
Fractional coordinates of all 15 atoms:
Te 0.234 0.468 0.709
Te 0.738 0.476 0.713
Te 0.741 0.975 0.709
Te 0.766 0.532 0.291
Te 0.259 0.025 0.291
Te 0.766 0.025 0.291
Te 0.262 0.524 0.287
Te 0.234 0.975 0.709
K 0.000 0.000 0.000
K 0.500 0.500 0.000
K 0.000 0.500 0.000
Sm 0.500 0.000 0.500
Sm 0.000 0.500 0.500
Sm 0.500 0.500 0.500
Ho 0.000 0.000 0.500

Values from the calculation:
As for the raw total energy: -4.47 eV per atom. The value obtained for the density of states at the Fermi level is 7.4 states/eV per cell. As for the formation energy without anion corrections: -1.324 eV/atom.

---

Below is a relaxed KSm2HoTe4 crystal, with properties calculated at the GGA-PBE level.

Cell lengths 4.431, 7.839, 7.849 Å; angles 71.60, 90.00, 90.00 degrees
Fractional coordinates of all 8 atoms:
Ho 0.000 0.500 0.500
K 0.500 0.500 0.000
Te 0.500 0.748 0.260
Te 0.500 0.252 0.740
Te 0.000 0.759 0.735
Te 0.000 0.241 0.265
Sm 0.500 0.000 0.500
Sm 0.000 0.000 0.000

Values from the calculation:
As for the raw total energy: -4.78 eV per atom. The value obtained for the density of states at the Fermi level is 3.3 states/eV per cell. As for the formation energy without anion corrections: -1.322 eV/atom.

---

Below is a relaxed K3SmHo2Te6 crystal, with properties calculated at the GGA-PBE level.

Cell lengths 7.813, 7.813, 8.648 Å; angles 98.67, 98.67, 120.01 degrees
Fractional coordinates of all 12 atoms:
Ho 0.333 0.667 0.000
Ho 0.667 0.333 0.000
Te 0.269 0.269 0.791
Te 0.070 0.409 0.209
Te 0.591 0.930 0.791
Te 0.930 0.591 0.791
Te 0.409 0.070 0.209
Te 0.731 0.731 0.209
Sm 0.000 0.000 0.000
K 0.500 0.500 0.500
K 0.835 0.165 0.500
K 0.165 0.835 0.500

Values from the calculation:
As for the raw total energy: -4.40 eV per atom. As for the formation energy without anion corrections: -1.396 eV/atom.

---

Below is a relaxed K3Sm2HoTe6 crystal, with properties calculated at the GGA-PBE level.

Cell lengths 7.866, 7.866, 8.656 Å; angles 98.71, 98.71, 120.01 degrees
Fractional coordinates of all 12 atoms:
K 0.500 0.500 0.500
K 0.832 0.168 0.500
K 0.168 0.832 0.500
Sm 0.334 0.666 0.000
Sm 0.666 0.334 0.000
Te 0.398 0.070 0.211
Te 0.070 0.398 0.211
Te 0.257 0.257 0.789
Te 0.602 0.930 0.789
Te 0.930 0.602 0.789
Te 0.743 0.743 0.211
Ho 0.000 0.000 0.000

Values from the calculation:
As for the raw total energy: -4.42 eV per atom. As for the formation energy without anion corrections: -1.404 eV/atom.

---

Below is a relaxed KHoSn2 crystal, with properties calculated at the GGA-PBE level.

Cell lengths 4.060, 4.060, 7.889 Å; angles 90.00, 90.00, 90.00 degrees
Fractional coordinates of all 4 atoms:
K 0.500 0.500 0.500
Ho 0.500 0.500 0.000
Sn 0.000 0.000 0.813
Sn 0.000 0.000 0.187

Values from the calculation:
As for the raw total energy: -3.83 eV per atom. The value obtained for the formation energy is -0.41 eV per atom. The value obtained for the density of states at the Fermi level is 1.6 states/eV per cell.

---

no.,calculated volume (Å³ per cell),magnetization (μB/atom)
1,469.6,0.000
2,353.7,0.000
3,351.2,0.000
4,337.1,0.001
5,454.7,0.035
6,220.4,0.000
7,374.6,0.000
8,586.6,0.000
9,258.7,0.000
10,435.9,0.000
11,442.0,0.000
12,130.0,0.000